# 1
# Pm3InAs2Rh9

Pm3InAs2Rh9 after structural relaxation (GGA-PBE, the Alexandria database).

Calculated values
**Energy of formation**: -257 meV per atom
**E**: -6.421 eV per atom
**Density of states at the Fermi level**: 0.467 states/eV/atom

Geometry as extended XYZ:
```
15
Lattice="7.065 0.000 0.000 -3.532 6.118 0.000 0.000 0.000 7.130" Properties=species:S:1:pos:R:3 pbc="T T T"
Pm 0.000 4.079 4.865
Pm 0.000 0.000 0.000
Pm 3.532 2.039 2.265
In 0.000 0.000 3.565
As 0.000 4.079 1.054
As 3.532 2.039 6.076
Rh 5.024 1.178 4.516
Rh 3.532 3.762 4.516
Rh 2.041 1.178 4.516
Rh 1.492 4.940 2.613
Rh 0.000 2.356 2.613
Rh -1.492 4.940 2.613
Rh 3.532 0.000 0.000
Rh -1.766 3.059 0.000
Rh 1.766 3.059 0.000
```

# 2
# PmInAs2Rh5

PmInAs2Rh5 after structural relaxation (GGA-PBE, the Alexandria database).

Calculated values
**Energy of formation**: -426 meV per atom
**E**: -6.376 eV per atom
**Density of states at the Fermi level**: 0.400 states/eV/atom

Geometry as extended XYZ:
```
9
Lattice="-0.068 -3.731 -1.703 0.317 -1.703 3.718 -10.668 -0.181 0.826" Properties=species:S:1:pos:R:3 pbc="T T T"
Pm -5.334 -0.091 0.413
In 0.000 0.000 0.000
As -2.850 -2.767 1.238
As -7.570 -2.848 1.603
Rh -1.618 -0.882 1.997
Rh -1.811 -1.896 -0.714
Rh -8.733 -1.002 2.547
Rh -8.926 -2.017 -0.163
Rh -5.210 -2.808 1.421
```

# 3
# Pr2InAs

Pr2InAs after structural relaxation (GGA-PBE, the Alexandria database).

Calculated values
**Energy of formation**: -907 meV per atom
**Energy relative to the lowest polymorph listed for this composition**: 0.0000 eV/atom
**E**: -5.143 eV per atom
**Density of states at the Fermi level**: 0.452 states/eV/atom

Geometry as extended XYZ:
```
4
Lattice="4.204 0.000 0.000 2.102 3.641 0.000 2.102 1.214 8.083" Properties=species:S:1:pos:R:3 pbc="T T T"
Pr 2.102 1.214 1.733
Pr 6.306 3.641 6.350
As 0.000 0.000 0.000
In 4.204 2.427 4.041
```

# 4
# Pr2InAs

Pr2InAs after structural relaxation (GGA-PBE, the Alexandria database).

Calculated values
**Energy of formation**: -785 meV per atom
**Energy relative to the lowest polymorph listed for this composition**: 0.1221 eV/atom
**E**: -5.021 eV per atom
**Density of states at the Fermi level**: 0.702 states/eV/atom

Geometry as extended XYZ:
```
4
Lattice="-1.832 -3.028 1.689 2.244 0.421 3.189 -4.799 4.459 2.789" Properties=species:S:1:pos:R:3 pbc="T T T"
Pr -3.691 3.429 2.145
Pr -1.108 1.030 0.644
As 0.206 -1.304 2.439
In -2.194 0.926 3.833
```

# 5
# PrInAs2

PrInAs2 after structural relaxation (GGA-PBE, the Alexandria database).

Calculated values
**Energy of formation**: -392 meV per atom
**E**: -4.596 eV per atom
**Density of states at the Fermi level**: 0.036 states/eV/atom

Geometry as extended XYZ:
```
4
Lattice="4.710 0.000 0.000 2.355 4.079 0.000 2.355 1.360 7.713" Properties=species:S:1:pos:R:3 pbc="T T T"
Pr 4.710 2.720 3.857
As 2.355 1.360 5.244
As 7.065 4.079 2.469
In 0.000 0.000 0.000
```

# 6
# PrInAs2Rh5

PrInAs2Rh5 after structural relaxation (GGA-PBE, the Alexandria database).

Calculated values
**Energy of formation**: -435 meV per atom
**E**: -6.388 eV per atom
**Density of states at the Fermi level**: 0.426 states/eV/atom

Geometry as extended XYZ:
```
9
Lattice="4.127 0.000 0.000 0.000 4.127 0.000 0.000 0.000 10.637" Properties=species:S:1:pos:R:3 pbc="T T T"
Pr 0.000 0.000 5.319
In 0.000 0.000 0.000
As 2.063 2.063 2.948
As 2.063 2.063 7.689
Rh 0.000 2.063 1.765
Rh 2.063 0.000 1.765
Rh 0.000 2.063 8.872
Rh 2.063 0.000 8.872
Rh 2.063 2.063 5.319
```

Q: The lowest density of states at the Fermi level belongs to which entry?
A: PrInAs2

Q: Which of these has the lowest density of states at the Fermi level?
A: PrInAs2